1.
# CdRuO2 | Alexandria | meta-GGA SCAN | PBEsol geometry
# - Total magnetic moment: 0.3888 μB/atom
# - E_form (uncorrected): -851 meV per atom
# - V: 13.5 A^3/atom
data_CdRuO2
_chemical_formula_sum 'Cd3 Ru3 O6'
_symmetry_space_group_name_H-M 'R -3 m'
_symmetry_Int_Tables_number 166
_symmetry_space_group_name_Hall '-R 3 2"'
_cell_length_a 2.9512
_cell_length_b 2.9512
_cell_length_c 21.4070
_cell_angle_alpha 90.00
_cell_angle_beta 90.00
_cell_angle_gamma 120.00
loop_
_atom_site_label
_atom_site_type_symbol
_atom_site_fract_x
_atom_site_fract_y
_atom_site_fract_z
_atom_site_occupancy
Cd1 Cd 0.0000 0.0000 0.0000 1
Ru1 Ru 0.0000 0.0000 0.5000 1
O1 O 0.0000 0.0000 0.1153 1



2.
# CdSO2 | Alexandria | meta-GGA SCAN | PBEsol geometry
# - Total magnetic moment: 0.0000 μB/atom
# - E_form (uncorrected): 81 meV per atom
# - V: 14.1 A^3/atom
data_CdSO2
_chemical_formula_sum 'Cd3 S3 O6'
_symmetry_space_group_name_H-M 'R -3 m'
_symmetry_Int_Tables_number 166
_symmetry_space_group_name_Hall '-R 3 2"'
_cell_length_a 3.0167
_cell_length_b 3.0167
_cell_length_c 21.4062
_cell_angle_alpha 90.00
_cell_angle_beta 90.00
_cell_angle_gamma 120.00
loop_
_atom_site_label
_atom_site_type_symbol
_atom_site_fract_x
_atom_site_fract_y
_atom_site_fract_z
_atom_site_occupancy
Cd1 Cd 0.0000 0.0000 0.0000 1
S1 S 0.0000 0.0000 0.5000 1
O1 O 0.0000 0.0000 0.1196 1



3.
# CdSO4 | Alexandria | meta-GGA SCAN | PBEsol geometry
# - Total magnetic moment: 0.0000 μB/atom
# - E_form (uncorrected): -1601 meV per atom
# - V: 13.2 A^3/atom
data_CdSO4
_chemical_formula_sum 'Cd4 S4 O16'
_symmetry_space_group_name_H-M 'C m c m'
_symmetry_Int_Tables_number 63
_symmetry_space_group_name_Hall '-C 2c 2'
_cell_length_a 5.335
_cell_length_b 8.271
_cell_length_c 7.162
_cell_angle_alpha 90.00
_cell_angle_beta 90.00
_cell_angle_gamma 90.00
loop_
_atom_site_label
_atom_site_type_symbol
_atom_site_fract_x
_atom_site_fract_y
_atom_site_fract_z
_atom_site_occupancy
Cd1 Cd 0.000 0.000 0.000 1
S1 S 0.000 0.357 0.250 1
O1 O 0.000 0.262 0.077 1
O2 O 0.229 0.465 0.250 1



Among the records above, which one has the highest V? CdSO2



Which formula does entry 2 have? CdSO2



Which of these has the highest E_form (uncorrected)? CdSO2